No. 1
Material: TlInPb
Method: DFT, SCAN
State: single point on PBEsol structure

Cell lengths 7.2214, 7.2214, 7.2214 Å; angles 90.00, 90.00, 90.00 degrees
Space group F-43m (No. 216)
Asymmetric unit:
Tl: 0.0000 0.0000 0.0000 (multiplicity 4)
In: 0.2500 0.2500 0.2500 (multiplicity 4)
Pb: 0.2500 0.2500 0.7500 (multiplicity 4)

Summary:
Polymorph energy (0 for the lowest one): 123 meV per atom
Total magnetic moment: 0.00 μB/cell
Formation enthalpy at 0 K: 0.158 eV/atom



No. 2
Material: Bi3OsPb
Method: DFT, SCAN
State: single point on PBEsol structure

Cell lengths 5.6814, 5.6814, 5.6814 Å; angles 90.00, 90.00, 90.00 degrees
Space group Pm-3m (No. 221)
Asymmetric unit:
Bi: 0.0000 0.0000 0.5000 (multiplicity 3)
Os: 0.5000 0.5000 0.5000 (multiplicity 1)
Pb: 0.0000 0.0000 0.0000 (multiplicity 1)

Summary:
Total magnetic moment: 2.86 μB/cell
Formation enthalpy at 0 K: 2.148 eV/atom



No. 3
Material: ScAlGa2
Method: DFT, SCAN
State: single point on PBEsol structure

Cell lengths 6.5337, 6.5337, 6.5337 Å; angles 90.00, 90.00, 90.00 degrees
Space group Fm-3m (No. 225)
Asymmetric unit:
Sc: 0.0000 0.0000 0.0000 (multiplicity 4)
Al: 0.0000 0.0000 0.5000 (multiplicity 4)
Ga: 0.2500 0.2500 0.2500 (multiplicity 8)

Summary:
Total magnetic moment: 0.00 μB/cell
Formation enthalpy at 0 K: -0.283 eV/atom



No. 4
Material: BaRh2Se
Method: DFT, SCAN
State: single point on PBEsol structure

Cell lengths 4.4525, 4.4525, 7.8154 Å; angles 90.00, 90.00, 90.00 degrees
Space group I4/mmm (No. 139)
Asymmetric unit:
Ba: 0.0000 0.0000 0.0000 (multiplicity 2)
Rh: 0.0000 0.5000 0.2500 (multiplicity 4)
Se: 0.0000 0.0000 0.5000 (multiplicity 2)

Summary:
Energy relative to the elements, uncorrected: 0.20 eV/atom
Total magnetic moment: 0.00 μB/cell



No. 5
Material: BaZrCl2
Method: DFT, SCAN
State: single point on PBEsol structure

Cell lengths 3.3087, 6.4892, 9.3445 Å; angles 90.00, 90.00, 90.00 degrees
Space group Cmmm (No. 65)
Asymmetric unit:
Ba: 0.0000 0.0000 0.0000 (multiplicity 2)
Zr: 0.0000 0.0000 0.5000 (multiplicity 2)
Cl: 0.0000 0.5000 0.2821 (multiplicity 4)

Summary:
Energy relative to the elements, uncorrected: -1.11 eV/atom
Total magnetic moment: 0.00 μB/cell



No. 6
Material: Cu2PPbW
Method: DFT, SCAN
State: single point on PBEsol structure

Cell lengths 4.7647, 4.7647, 4.5653 Å; angles 90.00, 90.00, 90.00 degrees
Space group P4/mmm (No. 123)
Asymmetric unit:
Cu: 0.0000 0.5000 0.0000 (multiplicity 2)
P: 0.0000 0.0000 0.5000 (multiplicity 1)
Pb: 0.5000 0.5000 0.5000 (multiplicity 1)
W: 0.0000 0.0000 0.0000 (multiplicity 1)

Summary:
Total magnetic moment: 0.00 μB/cell
Formation enthalpy at 0 K: 0.833 eV/atom



| no. | total DFT energy (no corrections) (eV/atom) |
| --- | --- |
| 1 | -60.3504 |
| 2 | -74.5316 |
| 3 | -13.9538 |
| 4 | -31.5900 |
| 5 | -22.6567 |
| 6 | -36.4208 |